Entry 1:
A plane-wave DFT calculation with PBE was carried out for a geometry-optimized Pu2CoNi3As4 structure.

a b c (Å): 4.1718 4.1718 9.3618
angles (deg): 90.00 90.00 90.00
With the nearest neighbours (Å) after each atom.
Fractional coordinates of all 10 atoms:
Pu1 0.0000 0.5000 0.2485  8 As 3.12-3.15, 7 Ni 3.15-3.44, 2 Co 3.15
Pu2 0.5000 0.0000 0.7515  8 As 3.12-3.15, 7 Ni 3.15-3.44, 2 Co 3.15
Co1 0.0000 0.0000 0.5000  4 As 2.43
Ni1 0.0000 0.5000 0.8812  5 As 2.33-2.36
Ni2 0.5000 0.0000 0.1188  5 As 2.33-2.36
Ni3 0.5000 0.5000 0.5000  4 As 2.43
As1 0.0000 0.0000 0.0000  4 Ni 2.36
As2 0.0000 0.5000 0.6321  3 Ni 2.33-2.43, 2 Co 2.43
As3 0.5000 0.0000 0.3679  3 Ni 2.33-2.43, 2 Co 2.43
As4 0.5000 0.5000 0.0000  4 Ni 2.36

Computed properties:
Magnetic moment, μB per atom: 1.12
Total energy, eV for the cell shown: -77.778
Space-group type: P-4m2, No. 115
Crystal system: tetragonal
Calculated formation energy, eV per atom: -0.607

---

Entry 2:
A plane-wave DFT calculation with PBE was carried out for a geometry-optimized CoReNi2As structure.

a b c (Å): 4.2791 4.2791 4.3837
angles (deg): 90.00 90.00 90.00
With the nearest neighbours (Å) after each atom.
Fractional coordinates of all 5 atoms:
Co1 0.0000 0.0000 0.0000  4 Ni 2.14, 2 Re 2.19
Re1 0.0000 0.0000 0.5000  2 Co 2.19
Ni1 0.0000 0.5000 0.0000  2 Co 2.14
Ni2 0.5000 0.0000 0.0000  2 Co 2.14
As1 0.5000 0.5000 0.5000  4 Re 3.03, 8 Ni 3.06

Computed properties:
Magnetic moment, μB per atom: 0.57
Total energy, eV for the cell shown: -29.684
Space-group type: P4/mmm, No. 123
Crystal system: tetragonal
Calculated formation energy, eV per atom: 1.216

---

Entry 3:
A plane-wave DFT calculation with PBE was carried out for a geometry-optimized CoNiAs2S2 structure.

a b c (Å): 5.6409 5.6474 5.6437
angles (deg): 90.00 90.26 90.00
With the nearest neighbours (Å) after each atom.
Fractional coordinates of all 12 atoms:
Co1 0.0063 0.0000 0.2578  3 S 2.29-2.30, 3 As 2.35-2.37
Co2 0.9937 0.5000 0.7422  3 S 2.29-2.30, 3 As 2.35-2.37
Ni1 0.4915 0.0149 0.7574  3 S 2.33-2.34, 3 As 2.40-2.42
Ni2 0.5085 0.5149 0.2426  3 S 2.33-2.34, 3 As 2.40-2.42
As1 0.1164 0.3832 0.1265  1 S 2.34, 2 Co 2.37, 1 Ni 2.42
As2 0.3749 0.6262 0.6312  1 S 2.33, 1 Co 2.35, 2 Ni 2.40-2.41
As3 0.6251 0.1262 0.3688  1 S 2.33, 1 Co 2.35, 2 Ni 2.40-2.41
As4 0.8836 0.8832 0.8735  1 S 2.34, 2 Co 2.37, 1 Ni 2.42
S1 0.1120 0.1277 0.6296  2 Co 2.30, 1 As 2.34, 1 Ni 2.34
S2 0.3765 0.8919 0.1350  1 Co 2.29, 1 As 2.33, 2 Ni 2.33-2.34
S3 0.6235 0.3919 0.8650  1 Co 2.29, 1 As 2.33, 2 Ni 2.33-2.34
S4 0.8880 0.6277 0.3704  2 Co 2.30, 1 As 2.34, 1 Ni 2.34

Computed properties:
Magnetic moment, μB per atom: 0.04
Total energy, eV for the cell shown: -65.290
Space-group type: P2_1, No. 4
ΔE_f (raw), eV per atom: -0.3673
Crystal system: monoclinic